i:
Entry from Alexandria via LeMat-Bulk: a relaxed BaSr3V crystal (PBE).

Cell lengths 6.4678, 6.4678, 6.4678 Å; angles 90.00, 90.00, 90.00 degrees
Space group Pm-3m (No. 221)
Inequivalent atoms, fractional coordinates:
Ba  0.0000  0.0000  0.0000 (multiplicity 1)
Sr  0.0000  0.0000  0.5000 (multiplicity 3)
V  0.5000  0.5000  0.5000 (multiplicity 1)

## Properties
**D(E_F)**: 7.3 states/eV/f.u.

ii:
Entry from Alexandria via LeMat-Bulk: a relaxed BaSr3V crystal (PBE).

Cell lengths 6.4041, 6.4041, 6.4041 Å; angles 90.00, 90.00, 90.00 degrees
Space group Pm-3m (No. 221)
Inequivalent atoms, fractional coordinates:
Ba  0.0000  0.0000  0.0000 (multiplicity 1)
Sr  0.0000  0.5000  0.5000 (multiplicity 3)
V  0.5000  0.5000  0.5000 (multiplicity 1)

## Properties
**D(E_F)**: 4.9 states/eV/f.u.

What should be chosen as the least stable of them? Choose i.

i:
Entry from Alexandria via LeMat-Bulk: a relaxed Ba2SrW crystal (PBE).

Cell lengths 5.2944, 5.4533, 5.4682 Å; angles 90.00, 90.00, 90.00 degrees
Space group Pmmm (No. 47)
Inequivalent atoms, fractional coordinates:
Ba  0.0000  0.0000  0.0000 (multiplicity 1)
Ba  0.0000  0.5000  0.5000 (multiplicity 1)
Sr  0.5000  0.0000  0.5000 (multiplicity 1)
W  0.5000  0.5000  0.0000 (multiplicity 1)

## Properties
**D(E_F)**: 6.2 states/eV/f.u.

ii:
Entry from Alexandria via LeMat-Bulk: a relaxed Ba2SrW crystal (PBE).

Cell lengths 3.9099, 6.1217, 13.9960 Å; angles 90.00, 90.00, 90.00 degrees
Space group Immm (No. 71)
Inequivalent atoms, fractional coordinates:
Ba  0.0000  0.0000  0.1832 (multiplicity 4)
Sr  0.0000  0.5000  0.0000 (multiplicity 2)
W  0.0000  0.5000  0.5000 (multiplicity 2)

## Properties
**D(E_F)**: 3.8 states/eV/f.u.

iii:
Entry from Alexandria via LeMat-Bulk: a relaxed Ba2SrW crystal (PBE).

Cell lengths 8.5225, 8.5225, 8.5225 Å; angles 90.00, 90.00, 90.00 degrees
Space group Fm-3m (No. 225)
Inequivalent atoms, fractional coordinates:
Ba  0.2500  0.2500  0.2500 (multiplicity 8)
Sr  0.0000  0.0000  0.0000 (multiplicity 4)
W  0.0000  0.0000  0.5000 (multiplicity 4)

## Properties
**D(E_F)**: 6.7 states/eV/f.u.

What should be chosen as the least stable of them? Choose i.

i:
Entry from Alexandria via LeMat-Bulk: a relaxed Ba3SrW crystal (PBE).

Cell lengths 6.2587, 6.2587, 6.2587 Å; angles 90.00, 90.00, 90.00 degrees
Space group Pm-3m (No. 221)
Inequivalent atoms, fractional coordinates:
Ba  0.0000  0.0000  0.5000 (multiplicity 3)
Sr  0.0000  0.0000  0.0000 (multiplicity 1)
W  0.5000  0.5000  0.5000 (multiplicity 1)

## Properties
**D(E_F)**: 18.3 states/eV/f.u.

ii:
Entry from Alexandria via LeMat-Bulk: a relaxed Ba3SrW crystal (PBE).

Cell lengths 6.2513, 6.2513, 6.2513 Å; angles 90.00, 90.00, 90.00 degrees
Space group Pm-3m (No. 221)
Inequivalent atoms, fractional coordinates:
Ba  0.0000  0.0000  0.5000 (multiplicity 3)
Sr  0.5000  0.5000  0.5000 (multiplicity 1)
W  0.0000  0.0000  0.0000 (multiplicity 1)

## Properties
**D(E_F)**: 5.8 states/eV/f.u.

What should be chosen as the least stable of them? Choose i.

i:
Entry from Alexandria via LeMat-Bulk: a relaxed BaSr3W crystal (PBE).

Cell lengths 5.9310, 5.9310, 5.9310 Å; angles 90.00, 90.00, 90.00 degrees
Space group Pm-3m (No. 221)
Inequivalent atoms, fractional coordinates:
Ba  0.0000  0.0000  0.0000 (multiplicity 1)
Sr  0.0000  0.0000  0.5000 (multiplicity 3)
W  0.5000  0.5000  0.5000 (multiplicity 1)

## Properties
**D(E_F)**: 13.9 states/eV/f.u.

ii:
Entry from Alexandria via LeMat-Bulk: a relaxed BaSr3W crystal (PBE).

Cell lengths 6.1759, 6.1759, 6.1759 Å; angles 90.00, 90.00, 90.00 degrees
Space group Pm-3m (No. 221)
Inequivalent atoms, fractional coordinates:
Ba  0.0000  0.0000  0.0000 (multiplicity 1)
Sr  0.0000  0.5000  0.5000 (multiplicity 3)
W  0.5000  0.5000  0.5000 (multiplicity 1)

## Properties
**D(E_F)**: 4.6 states/eV/f.u.

What should be chosen as the least stable of them? Choose i.

i:
Entry from Alexandria via LeMat-Bulk: a relaxed BaSr2Y2 crystal (PBE).

Cell lengths 5.2670, 5.2670, 17.6339 Å; angles 90.00, 90.00, 90.00 degrees
Space group I4/mmm (No. 139)
Inequivalent atoms, fractional coordinates:
Ba  0.0000  0.0000  0.0000 (multiplicity 2)
Sr  0.0000  0.5000  0.2500 (multiplicity 4)
Y  0.0000  0.0000  0.4108 (multiplicity 4)

## Properties
**D(E_F)**: 7.2 states/eV/f.u.

ii:
Entry from Alexandria via LeMat-Bulk: a relaxed BaSr2Y2 crystal (PBE).

Cell lengths 10.6861, 10.6861, 4.0384 Å; angles 90.00, 90.00, 90.00 degrees
Space group P4/mbm (No. 127)
Inequivalent atoms, fractional coordinates:
Ba  0.0000  0.0000  0.0000 (multiplicity 2)
Sr  0.1776  0.3224  0.5000 (multiplicity 4)
Y  0.1117  0.6117  0.0000 (multiplicity 4)

## Properties
**D(E_F)**: 2.5 states/eV/f.u.

What should be chosen as the least stable of them? Choose i.